(1)
# In2TcPt

Crystalline In2TcPt at its relaxed geometry (PBEsol, the Alexandria database).

Cell: 2.9786 4.6031 5.8656 Å, 113.10 104.71 90.00°
Atoms (fractional coordinates):
1 In 0.9755 0.9755 0.9510
2 In 0.7645 0.2645 0.5290
3 Pt 0.5234 0.5234 0.0467
4 Tc 0.2366 0.7366 0.4733

Calculated values
- VASP energy: -5.9657 eV/atom
- E_form: 0.0832 eV/atom
- Space-group type: Imm2

(2)
# Sr3Rh16O32

Crystalline Sr3Rh16O32 at its relaxed geometry (PBEsol, the Alexandria database).

Cell: 8.0257 8.6048 9.6354 Å, 66.97 72.86 77.65°
Atoms (fractional coordinates):
1 Sr 0.9701 0.0289 0.0058
2 Sr 0.6760 0.6739 0.3243
3 Sr 0.3232 0.3194 0.6781
4 Rh 0.9440 0.2191 0.2484
5 Rh 0.8813 0.1980 0.6221
6 Rh 0.3695 0.0498 0.1291
7 Rh 0.8050 0.5298 0.0053
8 Rh 0.5541 0.2806 0.2559
9 Rh 0.3044 0.0290 0.5049
10 Rh 0.6203 0.2985 0.8808
11 Rh 0.8691 0.5472 0.6324
12 Rh 0.1303 0.4501 0.3698
13 Rh 0.3773 0.6993 0.1202
14 Rh 0.1936 0.4675 0.9961
15 Rh 0.6948 0.9675 0.4967
16 Rh 0.4448 0.7163 0.7456
17 Rh 0.6292 0.9473 0.8723
18 Rh 0.1178 0.7989 0.3800
19 Rh 0.0550 0.7791 0.7547
20 O 0.8715 0.1074 0.4731
21 O 0.7550 0.0873 0.2619
22 O 0.6313 0.0509 0.0262
23 O 0.8820 0.2992 0.7784
24 O 0.6233 0.1926 0.7277
25 O 0.8724 0.4431 0.4781
26 O 0.4955 0.1599 0.4895
27 O 0.7459 0.4121 0.2390
28 O 0.3785 0.1403 0.2794
29 O 0.6274 0.3900 0.0308
30 O 0.1129 0.0278 0.2128
31 O 0.9966 0.6602 0.9875
32 O 0.8772 0.6395 0.7807
33 O 0.3630 0.2769 0.9588
34 O 0.8605 0.7743 0.4619
35 O 0.6128 0.5250 0.7117
36 O 0.1387 0.2218 0.5405
37 O 0.6359 0.7201 0.0424
38 O 0.3864 0.4721 0.2894
39 O 0.1215 0.3591 0.2210
40 O 0.0021 0.3335 0.0141
41 O 0.8869 0.9697 0.7903
42 O 0.6204 0.8567 0.7221
43 O 0.3696 0.6081 0.9705
44 O 0.2526 0.5850 0.7626
45 O 0.5041 0.8367 0.5119
46 O 0.1272 0.5538 0.5243
47 O 0.3759 0.8044 0.2736
48 O 0.1184 0.6969 0.2255
49 O 0.3695 0.9456 0.9767
50 O 0.2465 0.9086 0.7372
51 O 0.1271 0.8897 0.5294

Calculated values
- Formation energy from raw total energies: -1.12 eV/atom
- VASP energy: -7.0742 eV/atom
- Space-group type: P1

(3)
# FeTcPb2

Crystalline FeTcPb2 at its relaxed geometry (PBEsol, the Alexandria database).

Cell: 3.2706 4.5822 5.4729 Å, 101.67 90.00 110.91°
Last column: magnetic moment on the atom in μB.
Atoms (fractional coordinates):
1 Fe 0.5000 0.0000 0.0000  2.46
2 Pb 0.7507 0.5014 0.7518  -0.03
3 Pb 0.2493 0.4986 0.2482  -0.03
4 Tc 0.0000 0.0000 0.5000  0.56

Calculated values
- VASP energy: -6.2449 eV/atom
- E_form: 0.8119 eV/atom
- Space-group type: C2/m

(4)
# GaRhOF2

Crystalline GaRhOF2 at its relaxed geometry (PBEsol, the Alexandria database).

Cell: 3.6555 4.3467 4.3467 Å, 90.00 90.00 90.00°
Atoms (fractional coordinates):
1 Rh 0.0000 0.0000 0.0000
2 O 0.5000 0.0000 0.0000
3 Ga 0.5000 0.5000 0.5000
4 F 0.0000 0.0000 0.5000
5 F 0.0000 0.5000 0.0000

Calculated values
- Formation energy from raw total energies: -1.00 eV/atom
- VASP energy: -5.1203 eV/atom
- Space-group type: P4/mmm

(5)
# YPbI2N

Crystalline YPbI2N at its relaxed geometry (PBEsol, the Alexandria database).

Cell: 4.0633 6.1721 6.1721 Å, 90.00 90.00 90.00°
Atoms (fractional coordinates):
1 Pb 0.0000 0.0000 0.0000
2 I 0.0000 0.0000 0.5000
3 I 0.0000 0.5000 0.0000
4 Y 0.5000 0.5000 0.5000
5 N 0.5000 0.0000 0.0000

Calculated values
- Formation energy from raw total energies: 0.44 eV/atom
- VASP energy: -4.1317 eV/atom
- Space-group type: P4/mmm

(6)
# LaSe2Br

Crystalline LaSe2Br at its relaxed geometry (PBEsol, the Alexandria database).

Cell: 4.3285 4.3285 5.8926 Å, 111.55 111.55 90.00°
Atoms (fractional coordinates):
1 Br 0.5000 0.5000 0.0000
2 La 0.2500 0.7500 0.5000
3 Se 0.0000 0.0000 0.0000
4 Se 0.7500 0.2500 0.5000

Calculated values
- Formation energy from raw total energies: -1.08 eV/atom
- VASP energy: -4.8085 eV/atom
- Space-group type: I-4m2

(7)
# MgReSi2

Crystalline MgReSi2 at its relaxed geometry (PBEsol, the Alexandria database).

Cell: 3.0212 4.3491 5.1269 Å, 99.62 90.00 110.32°
Atoms (fractional coordinates):
1 Mg 0.0000 0.0000 0.5000
2 Re 0.5000 0.0000 0.0000
3 Si 0.7652 0.5303 0.8128
4 Si 0.2348 0.4697 0.1872

Calculated values
- Formation energy from raw total energies: -0.08 eV/atom
- VASP energy: -6.7198 eV/atom
- Space-group type: C2/m

(8)
# ScTl2PtS

Crystalline ScTl2PtS at its relaxed geometry (PBEsol, the Alexandria database).

Cell: 4.5258 5.3143 5.3143 Å, 90.00 90.00 90.00°
Atoms (fractional coordinates):
1 Sc 0.5000 0.5000 0.5000
2 Tl 0.0000 0.0000 0.5000
3 Tl 0.0000 0.5000 0.0000
4 S 0.5000 0.0000 0.0000
5 Pt 0.0000 0.0000 0.0000

Calculated values
- Formation energy from raw total energies: 0.26 eV/atom
- VASP energy: -4.3818 eV/atom
- Space-group type: P4/mmm

(9)
# Ca2TlTcPb

Crystalline Ca2TlTcPb at its relaxed geometry (PBEsol, the Alexandria database).

Cell: 5.2459 5.3709 5.3709 Å, 90.00 90.00 90.00°
Last column: magnetic moment on the atom in μB.
Atoms (fractional coordinates):
1 Pb 0.5000 0.0000 0.0000  -0.01
2 Tl 0.5000 0.5000 0.5000  0.00
3 Ca 0.0000 0.0000 0.5000  0.01
4 Ca 0.0000 0.5000 0.0000  0.01
5 Tc 0.0000 0.0000 0.0000  0.58

Calculated values
- VASP energy: -4.1209 eV/atom
- E_form: 0.3114 eV/atom
- Space-group type: P4/mmm

(10)
# MgRe2Pt

Crystalline MgRe2Pt at its relaxed geometry (PBEsol, the Alexandria database).

Cell: 3.3114 4.0151 4.4996 Å, 90.00 90.00 90.00°
Atoms (fractional coordinates):
1 Mg 0.5000 0.0000 0.5000
2 Pt 0.0000 0.5000 0.5000
3 Re 0.0000 0.0000 0.0000
4 Re 0.5000 0.5000 0.0000

Calculated values
- VASP energy: -8.7598 eV/atom
- E_form: 0.0764 eV/atom
- Space-group type: Pmmm

(11)
# SrSiTe2

Crystalline SrSiTe2 at its relaxed geometry (PBEsol, the Alexandria database).

Cell: 4.2436 4.5270 6.4305 Å, 92.54 109.27 90.00°
Atoms (fractional coordinates):
1 Sr 0.7122 0.1105 0.4243
2 Si 0.5003 0.5842 0.0006
3 Te 0.9983 0.1827 0.9966
4 Te 0.2892 0.6226 0.5784

Calculated values
- Formation energy from raw total energies: -0.73 eV/atom
- VASP energy: -4.3907 eV/atom
- Space-group type: Cm

(12)
# LaYNi

Crystalline LaYNi at its relaxed geometry (PBEsol, the Alexandria database).

Cell: 4.6296 4.6296 4.6296 Å, 60.00 60.00 60.00°
Atoms (fractional coordinates):
1 La 0.2500 0.2500 0.2500
2 Ni 0.0000 0.0000 0.0000
3 Y 0.5000 0.5000 0.5000

Calculated values
- VASP energy: -5.5641 eV/atom
- E_form: 0.5446 eV/atom
- Space-group type: F-43m

Question: Which value of VASP energy does entry 11 give?
Answer: -4.3907 eV/atom

Question: Which of these has the lowest VASP energy?
Answer: MgRe2Pt

Question: VASP energy of number 3 (FeTcPb2)?
Answer: -6.2449 eV/atom